# 1
A plane-wave DFT calculation with PBE was carried out for a relaxed structure of Zr2Ga2Pd.

Summary:
Energy relative to the elements, eV per atom: -0.703
D(E_F), states/eV per cell: 4.155
Space group: P4/mbm, No. 127

Cell lengths 6.6259, 6.6259, 4.1721 Å; angles 90.00, 90.00, 90.00 degrees
Sites, in units of the cell vectors:
Zr: 0.1698 0.3302 0.0000
Zr: 0.3302 0.8302 0.0000
Zr: 0.6698 0.1698 0.0000
Zr: 0.8302 0.6698 0.0000
Ga: 0.1367 0.6367 0.5000
Ga: 0.3633 0.1367 0.5000
Ga: 0.6367 0.8633 0.5000
Ga: 0.8633 0.3633 0.5000
Pd: 0.0000 0.0000 0.5000
Pd: 0.5000 0.5000 0.5000

---

# 2
A plane-wave DFT calculation with PBE was carried out for a relaxed structure of LaScRu2.

Summary:
Energy relative to the elements, eV per atom: 0.069
D(E_F), states/eV per cell: 4.368
Space group: Pmm2, No. 25

Cell lengths 3.2624, 4.2020, 5.8820 Å; angles 90.00, 90.00, 90.00 degrees
Sites, in units of the cell vectors:
La: 0.0000 0.0000 0.0000
Sc: 0.5000 0.5000 0.6179
Ru: 0.0000 0.0000 0.4666
Ru: 0.5000 0.5000 0.1937

---

# 3
A plane-wave DFT calculation with PBE was carried out for a relaxed structure of KIn2Tc.

Summary:
Energy relative to the elements, eV per atom: 0.696
D(E_F), states/eV per cell: 3.186
Space group: Fm-3m, No. 225

Cell lengths 5.0482, 5.0482, 5.0482 Å; angles 60.00, 60.00, 60.00 degrees
Sites, in units of the cell vectors:
K: 0.0000 0.0000 0.0000
In: 0.2500 0.2500 0.2500
In: 0.7500 0.7500 0.7500
Tc: 0.5000 0.5000 0.5000

---

# 4
A plane-wave DFT calculation with PBE was carried out for a relaxed structure of Cs2Ag2SnCl6.

Summary:
E_form (uncorrected), meV per atom: -1169
D(E_F), states/eV per cell: 0.000
Space group: C2/m, No. 12

Cell lengths 7.9786, 7.9786, 7.9781 Å; angles 115.12, 115.12, 59.16 degrees
Sites, in units of the cell vectors:
Cs: 0.2303 0.2303 0.1960
Cs: 0.7697 0.7697 0.8040
Ag: 0.4365 0.4365 0.7870
Ag: 0.5635 0.5635 0.2130
Sn: 0.0000 0.0000 0.5000
Cl: 0.1954 0.7091 0.2046
Cl: 0.2317 0.2317 0.6413
Cl: 0.2909 0.8046 0.7954
Cl: 0.7091 0.1954 0.2046
Cl: 0.7683 0.7683 0.3587
Cl: 0.8046 0.2909 0.7954

---

# 5
A plane-wave DFT calculation with PBE was carried out for a relaxed structure of Rb2SmGeTe4.

Summary:
E_form (uncorrected), meV per atom: -804
D(E_F), states/eV per cell: 19.068
Space group: Imma, No. 74

Cell lengths 9.4933, 9.4933, 9.4933 Å; angles 121.54, 118.47, 90.01 degrees
Sites, in units of the cell vectors:
Rb: 0.0000 0.0000 0.0000
Rb: 0.5000 0.0000 0.0000
Rb: 0.5000 0.0000 0.5000
Rb: 0.5000 0.5000 0.5000
Sm: 0.0000 0.0000 0.5000
Sm: 0.0000 0.5000 0.0000
Ge: 0.0000 0.5000 0.5000
Ge: 0.5000 0.5000 0.0000
Te: 0.1989 0.7291 0.4698
Te: 0.2332 0.2788 0.5456
Te: 0.2332 0.6876 0.9544
Te: 0.2407 0.2709 0.9698
Te: 0.7593 0.7291 0.0302
Te: 0.7668 0.3124 0.0456
Te: 0.7668 0.7212 0.4544
Te: 0.8011 0.2709 0.5302

---

# 6
A plane-wave DFT calculation with PBE was carried out for a relaxed structure of RbPt2O3.

Summary:
E_form (uncorrected), meV per atom: -713
Space group: R-3m, No. 166

Cell lengths 7.2259, 7.2259, 7.2259 Å; angles 52.30, 52.30, 52.30 degrees
Sites, in units of the cell vectors:
Rb: 0.1779 0.1779 0.1779
Rb: 0.8221 0.8221 0.8221
Pt: 0.0000 0.0000 0.0000
Pt: 0.0000 0.5000 0.5000
Pt: 0.5000 0.0000 0.5000
Pt: 0.5000 0.5000 0.0000
O: 0.2191 0.2191 0.7148
O: 0.2191 0.7148 0.2191
O: 0.2852 0.7809 0.7809
O: 0.7148 0.2191 0.2191
O: 0.7809 0.2852 0.7809
O: 0.7809 0.7809 0.2852

---

# 7
A plane-wave DFT calculation with PBE was carried out for a relaxed structure of Li2ScCoCu.

Summary:
Energy relative to the elements, eV per atom: 1.539
D(E_F), states/eV per cell: 7.066
Space group: P4/mmm, No. 123

Cell lengths 4.6568, 4.6568, 4.5044 Å; angles 90.00, 90.00, 90.00 degrees
Sites, in units of the cell vectors:
Li: 0.0000 0.5000 0.0000
Li: 0.5000 0.0000 0.0000
Sc: 0.0000 0.0000 0.0000
Co: 0.5000 0.5000 0.5000
Cu: 0.0000 0.0000 0.5000

---

# 8
A plane-wave DFT calculation with PBE was carried out for a relaxed structure of Gd2GeAu.

Summary:
Energy relative to the elements, eV per atom: -0.790
D(E_F), states/eV per cell: 2.835
Space group: Fm-3m, No. 225

Cell lengths 5.1174, 5.1174, 5.1174 Å; angles 60.00, 60.00, 60.00 degrees
Sites, in units of the cell vectors:
Gd: 0.2500 0.2500 0.2500
Gd: 0.7500 0.7500 0.7500
Ge: 0.0000 0.0000 0.0000
Au: 0.5000 0.5000 0.5000

---

Please write out number 8 again, unchanged.
A plane-wave DFT calculation with PBE was carried out for a relaxed structure of Gd2GeAu.

Summary:
Energy relative to the elements, eV per atom: -0.790
D(E_F), states/eV per cell: 2.835
Space group: Fm-3m, No. 225

Cell lengths 5.1174, 5.1174, 5.1174 Å; angles 60.00, 60.00, 60.00 degrees
Sites, in units of the cell vectors:
Gd: 0.2500 0.2500 0.2500
Gd: 0.7500 0.7500 0.7500
Ge: 0.0000 0.0000 0.0000
Au: 0.5000 0.5000 0.5000